Entry 1:
TmTaBi | PBE | relaxed

Properties
**Total magnetic moment**: 1.7 Bohr magnetons per cell
**Total DFT energy (no corrections)**: -74.67 eV/cell

abc: 6.857 6.857 6.857
angles: 90.00 90.00 90.00
Space group F-43m (No. 216)
One atom of each set of equivalent atoms:
Tm: 0.000 0.000 0.000
Ta: 0.000 0.000 0.500
Bi: 0.250 0.250 0.750

---

Entry 2:
TaFe3 | PBE | relaxed

Properties
**Total magnetic moment**: 5.8 Bohr magnetons per cell
**Total DFT energy (no corrections)**: -73.44 eV/cell
**E_form**: 0.01 eV/atom

abc: 5.1790 5.1790 4.2305
angles: 90.00 90.00 120.00
Space group P6_3/mmc (No. 194)
One atom of each set of equivalent atoms:
Ta: 0.3333 0.6667 0.2500
Fe: 0.1572 0.3144 0.7500

---

Entry 3:
KBaDyS3 | PBE | relaxed

Properties
**Total magnetic moment**: 0.0 Bohr magnetons per cell
**Total DFT energy (no corrections)**: -119.51 eV/cell

abc: 4.195 18.862 11.728
angles: 90.00 90.00 90.00
Space group Cmcm (No. 63)
One atom of each set of equivalent atoms:
K: 0.000 0.115 0.250
Ba: 0.000 0.121 0.750
Dy: 0.000 0.500 0.000
S: 0.000 0.096 0.000
S: 0.000 0.492 0.250

---

- What is the total magnetic moment in the third record?
  0.0 Bohr magnetons per cell